! Tl3SnHg6, optimized geometry, DFT PBE-GGA; values from VASP
&SYSTEM
  ibrav = 0, nat = 10, ntyp = 3
/
ATOMIC_SPECIES
Hg 200.59 Hg.upf
Tl 204.38 Tl.upf
Sn 118.71 Sn.upf
CELL_PARAMETERS angstrom
4.1051 0.0000 0.0000
-2.0525 3.5551 0.0000
0.0000 0.0000 20.6232
ATOMIC_POSITIONS crystal
Hg 0.3333 0.6667 0.1039
Hg 0.6667 0.3333 0.8961
Tl 0.0000 0.0000 0.6953
Hg 0.3333 0.6667 0.8008
Hg 0.6667 0.3333 0.5914
Sn 0.0000 0.0000 0.5000
Tl 0.0000 0.0000 0.3047
Hg 0.3333 0.6667 0.4086
Tl 0.0000 0.0000 0.0000
Hg 0.6667 0.3333 0.1992
! **V**: 30.10 A^3/atom

***

! Pm12MgRh6, optimized geometry, DFT PBE-GGA; values from VASP
&SYSTEM
  ibrav = 0, nat = 19, ntyp = 3
/
ATOMIC_SPECIES
Pm 145.00 Pm.upf
Rh 102.91 Rh.upf
Mg 24.30 Mg.upf
CELL_PARAMETERS angstrom
-5.5972 5.8110 -3.5684
6.4209 -1.8225 -5.7690
-4.3410 -7.4132 2.0074
ATOMIC_POSITIONS crystal
Pm 0.1187 0.8127 0.3060
Rh 0.5000 0.8690 0.3690
Pm 0.8127 0.6940 0.5066
Mg 0.0000 0.0000 0.0000
Pm 0.1873 0.3060 0.4934
Pm 0.4934 0.1873 0.3060
Rh 0.1310 0.6310 0.5000
Pm 0.6940 0.5066 0.8127
Pm 0.6940 0.8813 0.1873
Rh 0.8690 0.3690 0.5000
Pm 0.8127 0.3060 0.1187
Pm 0.1873 0.6940 0.8813
Rh 0.5000 0.1310 0.6310
Pm 0.5066 0.8127 0.6940
Rh 0.3690 0.5000 0.8690
Pm 0.3060 0.4934 0.1873
Pm 0.8813 0.1873 0.6940
Rh 0.6310 0.5000 0.1310
Pm 0.3060 0.1187 0.8127
! **V**: 27.82 A^3/atom

***

! Zr2TaPd2, optimized geometry, DFT PBE-GGA; values from VASP
&SYSTEM
  ibrav = 0, nat = 10, ntyp = 3
/
ATOMIC_SPECIES
Zr 91.22 Zr.upf
Ta 180.95 Ta.upf
Pd 106.42 Pd.upf
CELL_PARAMETERS angstrom
-6.7883 0.6041 3.5211
-3.5596 -1.7844 -6.5566
0.1282 -3.1488 0.7874
ATOMIC_POSITIONS crystal
Zr 0.8257 0.3257 0.5000
Ta 0.5000 0.5000 0.0000
Pd 0.8732 0.6268 0.0000
Ta 0.0000 0.0000 0.0000
Pd 0.3732 0.8732 0.0000
Pd 0.6268 0.1268 0.0000
Zr 0.1743 0.6743 0.5000
Pd 0.1268 0.3732 0.0000
Zr 0.6743 0.8257 0.5000
Zr 0.3257 0.1743 0.5000
! **V**: 19.11 A^3/atom

***

! LiAs2Au, optimized geometry, DFT PBE-GGA; values from VASP
&SYSTEM
  ibrav = 0, nat = 4, ntyp = 3
/
ATOMIC_SPECIES
As 74.92 As.upf
Li 6.94 Li.upf
Au 196.97 Au.upf
CELL_PARAMETERS angstrom
6.0199 0.0290 0.0150
5.2874 2.8782 0.0150
-0.8758 -0.2252 4.4636
ATOMIC_POSITIONS crystal
As 0.9783 0.9783 0.9132
As 0.7569 0.7569 0.8325
Li 0.2415 0.2415 0.3234
Au 0.5232 0.5232 0.4310
! **V**: 19.17 A^3/atom

***

Number 1: DOS(E_F) 2.5 states/eV per cell, ΔH_f (0 K) 20 meV/atom. Number 2: DOS(E_F) 19.8 states/eV per cell, ΔH_f (0 K) -476 meV/atom. Number 3: DOS(E_F) 13.5 states/eV per cell, ΔH_f (0 K) -308 meV/atom. Number 4: DOS(E_F) 1.7 states/eV per cell, ΔH_f (0 K) -177 meV/atom.